Entry from the Alexandria database: a relaxed HfTlPb3 crystal (GGA-PBE).

Lattice parameters (Å, degrees): 5.699 5.699 5.699 90.00 90.00 90.00
Sites, in units of the cell vectors:
Hf  0.000  0.000  0.000
Tl  0.500  0.500  0.500
Pb  0.000  0.500  0.500
Pb  0.500  0.000  0.500
Pb  0.500  0.500  0.000

Summary:
Its total energy is -17.64 eV for the cell shown. Its mass density is 9.011 g/cm³. The formation energy comes out at 1161 meV/atom. The energy above the most stable polymorph in this dataset comes out at 889 meV/atom. Its space group is Pm-3m, No. 221. For the total magnetization, the calculation gives 0.000 μB/cell.